Record 1
Crystalline BaCuAu2 at its relaxed geometry. Source: Alexandria via LeMat-Bulk, functional GGA-PBE.

Cell: 4.728 4.550 5.174 Å, 89.97 90.00 90.00°
Fractional coordinates of all 4 atoms:
Au (0.000, 0.000, 0.971)
Au (0.500, 0.000, 0.277)
Ba (0.000, 0.500, 0.484)
Cu (0.500, 0.999, 0.768)

Computed properties:
ΔH_f (0 K) in eV per atom: -0.393
DOS at the Fermi energy in states/eV/atom: 0.359
E_tot in eV per atom: -3.5366

Record 2
Crystalline Cr2Ni21B6 at its relaxed geometry. Source: Alexandria via LeMat-Bulk, functional GGA-PBE.

Cell: 7.403 7.403 7.403 Å, 60.00 60.00 60.00°
Site moments in Bohr magnetons follow the coordinates.
Fractional coordinates of all 29 atoms:
Cr (0.750, 0.750, 0.750)  2.64
Cr (0.250, 0.250, 0.250)  2.64
Ni (0.000, 0.000, 0.000)  0.40
Ni (0.617, 0.617, 0.148)  0.01
Ni (0.617, 0.617, 0.617)  0.01
Ni (0.617, 0.148, 0.617)  0.01
Ni (0.148, 0.617, 0.617)  0.01
Ni (0.383, 0.383, 0.852)  0.01
Ni (0.383, 0.383, 0.383)  0.01
Ni (0.383, 0.852, 0.383)  0.01
Ni (0.852, 0.383, 0.383)  0.01
Ni (0.661, 0.000, 0.339)  0.12
Ni (0.000, 0.661, 0.339)  0.12
Ni (0.000, 0.000, 0.339)  0.12
Ni (0.000, 0.661, 0.000)  0.12
Ni (0.661, 0.000, 0.000)  0.12
Ni (0.000, 0.000, 0.661)  0.12
Ni (0.000, 0.339, 0.000)  0.12
Ni (0.000, 0.339, 0.661)  0.12
Ni (0.661, 0.339, 0.000)  0.12
Ni (0.339, 0.000, 0.661)  0.12
Ni (0.339, 0.000, 0.000)  0.12
Ni (0.339, 0.661, 0.000)  0.12
B (0.271, 0.729, 0.271)  -0.01
B (0.729, 0.271, 0.271)  -0.01
B (0.729, 0.729, 0.271)  -0.01
B (0.729, 0.271, 0.729)  -0.01
B (0.271, 0.729, 0.729)  -0.01
B (0.271, 0.271, 0.729)  -0.01

Computed properties:
ΔH_f (0 K) in eV per atom: -0.211
DOS at the Fermi energy in states/eV/atom: 1.206
E_tot in eV per atom: -6.4428

Record 3
Crystalline GaHg12Pb6 at its relaxed geometry. Source: Alexandria via LeMat-Bulk, functional GGA-PBE.

Cell: 8.460 8.460 8.460 Å, 103.75 103.75 103.75°
Fractional coordinates of all 19 atoms:
Ga (0.000, 0.000, 0.000)
Hg (0.301, 0.927, 0.419)
Hg (0.927, 0.419, 0.301)
Hg (0.419, 0.301, 0.927)
Hg (0.699, 0.073, 0.581)
Hg (0.073, 0.581, 0.699)
Hg (0.581, 0.699, 0.073)
Hg (0.115, 0.966, 0.688)
Hg (0.312, 0.885, 0.034)
Hg (0.034, 0.312, 0.885)
Hg (0.885, 0.034, 0.312)
Hg (0.688, 0.115, 0.966)
Hg (0.966, 0.688, 0.115)
Pb (0.253, 0.307, 0.531)
Pb (0.693, 0.469, 0.747)
Pb (0.469, 0.747, 0.693)
Pb (0.747, 0.693, 0.469)
Pb (0.307, 0.531, 0.253)
Pb (0.531, 0.253, 0.307)

Computed properties:
ΔH_f (0 K) in eV per atom: 0.058
DOS at the Fermi energy in states/eV/atom: 0.417
E_tot in eV per atom: -1.4631

> Among the records above, which one has the lowest E_tot?

Cr2Ni21B6

> Look up the ΔH_f (0 K) of the first one.

-0.393 eV per atom

Please write out number 3 again, unchanged.
Crystalline GaHg12Pb6 at its relaxed geometry. Source: Alexandria via LeMat-Bulk, functional GGA-PBE.

Cell: 8.460 8.460 8.460 Å, 103.75 103.75 103.75°
Fractional coordinates of all 19 atoms:
Ga (0.000, 0.000, 0.000)
Hg (0.301, 0.927, 0.419)
Hg (0.927, 0.419, 0.301)
Hg (0.419, 0.301, 0.927)
Hg (0.699, 0.073, 0.581)
Hg (0.073, 0.581, 0.699)
Hg (0.581, 0.699, 0.073)
Hg (0.115, 0.966, 0.688)
Hg (0.312, 0.885, 0.034)
Hg (0.034, 0.312, 0.885)
Hg (0.885, 0.034, 0.312)
Hg (0.688, 0.115, 0.966)
Hg (0.966, 0.688, 0.115)
Pb (0.253, 0.307, 0.531)
Pb (0.693, 0.469, 0.747)
Pb (0.469, 0.747, 0.693)
Pb (0.747, 0.693, 0.469)
Pb (0.307, 0.531, 0.253)
Pb (0.531, 0.253, 0.307)

Computed properties:
ΔH_f (0 K) in eV per atom: 0.058
DOS at the Fermi energy in states/eV/atom: 0.417
E_tot in eV per atom: -1.4631